(1)
Material: IrIBr
Method: DFT, PBE
State: optimized geometry

Unit cell a=7.174 b=7.174 c=7.352 alpha=111.63 beta=111.63 gamma=31.18
Fractional positions:
Ir (0.247, 0.247, 0.220)
Ir (0.753, 0.753, 0.780)
I (0.137, 0.137, 0.821)
I (0.863, 0.863, 0.179)
Br (0.351, 0.351, 0.695)
Br (0.649, 0.649, 0.305)

* symmetry: C2/m, No. 12
* V: 180.99 Å³/cell
* energy relative to the elements, uncorrected: 0.63 eV per formula unit
* E: -22.9 eV per cell

***

(2)
Material: IrI2Br8
Method: DFT, PBE
State: optimized geometry

Unit cell a=8.546 b=8.546 c=7.365 alpha=106.34 beta=106.34 gamma=56.79
Fractional positions:
Ir (0.000, 0.000, 0.000)
I (0.198, 0.198, 0.730)
I (0.802, 0.802, 0.270)
Br (0.166, 0.166, 0.203)
Br (0.172, 0.752, 0.209)
Br (0.248, 0.828, 0.791)
Br (0.367, 0.367, 0.719)
Br (0.633, 0.633, 0.281)
Br (0.752, 0.172, 0.209)
Br (0.828, 0.248, 0.791)
Br (0.834, 0.834, 0.797)

* symmetry: C2/m, No. 12
* V: 426.37 Å³/cell
* energy relative to the elements, uncorrected: -0.16 eV per formula unit
* E: -25.5 eV per cell

***

(3)
Material: K2IrI2Br4
Method: DFT, PBE
State: optimized geometry

Unit cell a=7.342 b=7.342 c=6.890 alpha=98.13 beta=98.13 gamma=61.95
Fractional positions:
K (0.144, 0.144, 0.297)
K (0.856, 0.856, 0.703)
Ir (0.500, 0.500, 0.500)
I (0.392, 0.392, 0.799)
I (0.608, 0.608, 0.201)
Br (0.141, 0.618, 0.323)
Br (0.382, 0.859, 0.677)
Br (0.618, 0.141, 0.323)
Br (0.859, 0.382, 0.677)

* symmetry: C2/m, No. 12
* V: 323.31 Å³/cell
* energy relative to the elements, uncorrected: -7.25 eV per formula unit
* E: -28.1 eV per cell

***

(4)
Material: La4IrIBr2
Method: DFT, PBE
State: optimized geometry

Unit cell a=7.692 b=4.224 c=8.171 alpha=90.00 beta=107.67 gamma=90.00
Fractional positions:
La (0.210, 0.000, 0.201)
La (0.247, 0.500, 0.784)
La (0.753, 0.500, 0.216)
La (0.790, 0.000, 0.799)
Ir (0.000, 0.500, 0.000)
I (0.000, 0.000, 0.500)
Br (0.500, 0.000, 0.000)
Br (0.500, 0.500, 0.500)

* symmetry: P2/m, No. 10
* V: 252.94 Å³/cell
* energy relative to the elements, uncorrected: -9.17 eV per formula unit
* E: -42.6 eV per cell

***

(5)
Material: La6Ir2IBr3
Method: DFT, PBE
State: optimized geometry

Unit cell a=9.962 b=9.962 c=9.366 alpha=103.10 beta=103.10 gamma=24.60
Fractional positions:
La (0.021, 0.021, 0.274)
La (0.322, 0.322, 0.450)
La (0.323, 0.323, 0.867)
La (0.677, 0.677, 0.133)
La (0.678, 0.678, 0.550)
La (0.979, 0.979, 0.726)
Ir (0.170, 0.170, 0.333)
Ir (0.830, 0.830, 0.667)
I (0.500, 0.500, 0.000)
Br (0.153, 0.153, 0.832)
Br (0.500, 0.500, 0.500)
Br (0.847, 0.847, 0.168)

* symmetry: C2/m, No. 12
* V: 376.36 Å³/cell
* energy relative to the elements, uncorrected: -14.08 eV per formula unit
* E: -67.9 eV per cell

***

(6)
Material: La8Ir3I4Br
Method: DFT, PBE
State: optimized geometry

Unit cell a=9.553 b=9.553 c=9.553 alpha=54.03 beta=54.03 gamma=54.03
Fractional positions:
La (0.204, 0.744, 0.744)
La (0.228, 0.228, 0.228)
La (0.256, 0.256, 0.796)
La (0.256, 0.796, 0.256)
La (0.744, 0.204, 0.744)
La (0.744, 0.744, 0.204)
La (0.772, 0.772, 0.772)
La (0.796, 0.256, 0.256)
Ir (0.000, 0.000, 0.500)
Ir (0.000, 0.500, 0.000)
Ir (0.500, 0.000, 0.000)
I (0.000, 0.000, 0.000)
I (0.000, 0.500, 0.500)
I (0.500, 0.000, 0.500)
I (0.500, 0.500, 0.000)
Br (0.500, 0.500, 0.500)

* symmetry: R-3m, No. 166
* V: 530.50 Å³/cell
* energy relative to the elements, uncorrected: -17.52 eV per formula unit
* E: -91.4 eV per cell

***

(7)
Material: La8Ir3I3Br
Method: DFT, PBE
State: optimized geometry

Unit cell a=9.240 b=9.240 c=9.240 alpha=56.33 beta=56.33 gamma=56.33
Fractional positions:
La (0.202, 0.752, 0.752)
La (0.230, 0.230, 0.230)
La (0.248, 0.248, 0.798)
La (0.248, 0.798, 0.248)
La (0.752, 0.202, 0.752)
La (0.752, 0.752, 0.202)
La (0.770, 0.770, 0.770)
La (0.798, 0.248, 0.248)
Ir (0.000, 0.000, 0.500)
Ir (0.000, 0.500, 0.000)
Ir (0.500, 0.000, 0.000)
I (0.000, 0.500, 0.500)
I (0.500, 0.000, 0.500)
I (0.500, 0.500, 0.000)
Br (0.500, 0.500, 0.500)

* symmetry: R-3m, No. 166
* V: 510.54 Å³/cell
* energy relative to the elements, uncorrected: -14.69 eV per formula unit
* E: -87.0 eV per cell

***

(8)
Material: IrIBrN2
Method: DFT, PBE
State: optimized geometry

Unit cell a=3.884 b=3.884 c=8.583 alpha=90.00 beta=90.00 gamma=90.00
Fractional positions:
Ir (0.000, 0.000, 0.000)
I (0.000, 0.000, 0.500)
Br (0.500, 0.500, 0.500)
N (0.000, 0.500, 0.000)
N (0.500, 0.000, 0.000)

* symmetry: P4/mmm, No. 123
* V: 129.47 Å³/cell
* energy relative to the elements, uncorrected: 5.14 eV per formula unit
* E: -23.6 eV per cell

***

Among the records above, which one has the lowest V? IrIBrN2